Record 1
Material: Cs4KHg
Method: DFT, PBE-GGA
State: relaxed

Symmetry: No. 15
Calculated formation energy, meV per atom: -72
Crystal system: monoclinic

Lattice parameters (Å, degrees): 8.752 13.119 11.301 116.31 100.45 110.77
Element x y z (fractional)
Cs: 0.617 0.061 0.330
Cs: 0.944 0.815 0.172
Cs: 0.787 0.730 0.670
Cs: 0.213 0.270 0.330
Cs: 0.728 0.357 0.172
Cs: 0.056 0.185 0.828
Cs: 0.383 0.939 0.670
Cs: 0.272 0.643 0.828
Hg: 0.748 0.998 0.996
Hg: 0.252 0.002 0.004
K: 0.368 0.618 0.237
K: 0.632 0.382 0.763

Record 2
Material: Ac2ScGePd6
Method: DFT, PBE-GGA
State: relaxed

Symmetry: No. 12
Calculated formation energy, meV per atom: -683
Crystal system: monoclinic

Lattice parameters (Å, degrees): 6.674 7.079 8.674 48.85 53.01 81.83
Element x y z (fractional)
Ac: 0.757 0.243 0.534
Ac: 0.243 0.757 0.466
Pd: 0.256 0.255 0.491
Pd: 0.250 0.749 0.852
Pd: 0.255 0.256 0.998
Pd: 0.744 0.745 0.509
Pd: 0.750 0.251 0.148
Pd: 0.745 0.744 0.002
Ge: 0.500 0.500 0.000
Sc: 0.000 0.000 0.000

Record 3
Material: Co2SiTe
Method: DFT, PBE-GGA
State: relaxed

Symmetry: No. 44
Formation energy (no corrections), eV/atom: -0.008
Crystal system: orthorhombic

Lattice parameters (Å, degrees): 6.335 6.335 6.335 148.34 153.27 41.89
Element x y z (fractional)
Te: 0.294 0.794 0.500
Si: 0.544 0.544 0.000
Co: 0.674 0.174 0.500
Co: 0.988 0.988 0.000

Record 4
Material: CoMoRu
Method: DFT, PBE-GGA
State: relaxed

Symmetry: No. 107
Calculated formation energy, meV per atom: 176
Crystal system: tetragonal

Lattice parameters (Å, degrees): 4.754 4.754 4.754 141.55 141.55 55.51
Last column: magnetic moment on the atom in μB.
Element x y z (fractional)
Co: 0.994 0.994 0.000  1.35
Ru: 0.667 0.667 0.000  0.17
Mo: 0.339 0.339 0.000  -0.01

Record 5
Material: AcBeAl
Method: DFT, PBE-GGA
State: relaxed

Symmetry: No. 107
Calculated formation energy, meV per atom: 236
Crystal system: tetragonal

Lattice parameters (Å, degrees): 3.424 3.424 6.315 105.73 105.73 90.00
Element x y z (fractional)
Ac: 0.005 0.005 0.011
Al: 0.293 0.293 0.587
Be: 0.701 0.701 0.402

Record 6
Material: TiW3Au
Method: DFT, PBE-GGA
State: relaxed

Symmetry: No. 221
Calculated formation energy, meV per atom: 2540
Crystal system: cubic

Lattice parameters (Å, degrees): 4.821 4.821 4.821 90.00 90.00 90.00
Element x y z (fractional)
W: 0.000 0.000 0.500
W: 0.000 0.500 0.000
W: 0.500 0.000 0.000
Ti: 0.500 0.500 0.500
Au: 0.000 0.000 0.000

Number 1: DOS(E_F) 9.98 states/eV/cell, magnetic moment 0.00 μB per cell. Number 2: DOS(E_F) 5.60 states/eV/cell, magnetic moment 0.00 μB per cell. Number 3: DOS(E_F) 4.41 states/eV/cell, magnetic moment 0.00 μB per cell. Number 4: DOS(E_F) 4.08 states/eV/cell, magnetic moment 1.50 μB per cell. Number 5: DOS(E_F) 2.24 states/eV/cell, magnetic moment 0.00 μB per cell. Number 6: DOS(E_F) 13.32 states/eV/cell, magnetic moment 0.00 μB per cell.